Entry 1:
{"formula": "Si2SbRuBr", "functional": "PBE-GGA", "state": "relaxed", "e_form_raw_ev_per_atom": 0.468, "dos_ef_per_ev_cell": 3.49, "spacegroup": "P4/mmm, No. 123", "total_energy_ev_per_atom": -4.72, "cell": [[4.5724, 0.0000, 0.0000], [0.0000, 4.5724, 0.0000], [0.0000, 0.0000, 5.5011]], "species": ["Si", "Si", "Sb", "Ru", "Br"], "fractional_positions": [[0.0000, 0.5000, 0.0000], [0.5000, 0.0000, 0.0000], [0.0000, 0.0000, 0.5000], [0.5000, 0.5000, 0.0000], [0.5000, 0.5000, 0.5000]]}

Entry 2:
{"formula": "MgSnO", "functional": "PBE-GGA", "state": "relaxed", "e_form_raw_ev_per_atom": -1.423, "dos_ef_per_ev_cell": 0.84, "spacegroup": "Pm, No. 6", "total_energy_ev_per_atom": -4.94, "cell": [[5.6907, 0.0000, 0.0000], [0.0000, 2.9361, 0.0000], [-2.8071, 0.0000, 6.7102]], "species": ["Mg", "Mg", "Sn", "Sn", "O", "O"], "fractional_positions": [[0.0000, 0.0000, 0.0000], [0.4883, 0.0000, 0.0011], [0.5352, 0.5000, 0.5827], [0.9657, 0.5000, 0.4429], [0.2511, 0.5000, 0.0147], [0.7118, 0.5000, 0.9353]]}

Which formula does entry 1 have?
Si2SbRuBr